No. 1
{
  "formula": "NaCaSnPb",
  "functional": "PBE-GGA",
  "state": "relaxed",
  "lattice": [[5.449, 0.000, 0.000], [2.724, 4.719, 0.000], [2.724, 1.573, 4.449]],
  "species": ["Pb", "Sn", "Na", "Ca"],
  "fractional_positions": [[0.750, 0.750, 0.750], [0.250, 0.250, 0.250], [0.000, 0.000, 0.000], [0.500, 0.500, 0.500]],
  "e_form_ev_per_atom": -0.34,
  "magnetic_moment_mub_per_cell": 0.000,
  "e_above_lowest_polymorph_mev_per_atom": 22.9
}



No. 2
{
  "formula": "CsP3Au",
  "functional": "PBE-GGA",
  "state": "relaxed",
  "lattice": [[-0.772, -3.906, 3.157], [3.562, -2.677, -2.442], [3.541, 1.842, 3.145]],
  "species": ["P", "P", "P", "Au", "Cs"],
  "fractional_positions": [[0.000, 0.000, 0.500], [0.500, 0.000, 0.000], [0.000, 0.500, 0.000], [0.000, 0.000, 0.000], [0.500, 0.500, 0.500]],
  "e_form_ev_per_atom": 0.74,
  "magnetic_moment_mub_per_cell": 0.000,
  "e_above_lowest_polymorph_mev_per_atom": 0.0
}



No. 3
{
  "formula": "NiBS2N",
  "functional": "PBE-GGA",
  "state": "relaxed",
  "lattice": [[-3.818, 1.369, 2.322], [-2.596, -0.785, -3.806], [-0.520, -3.157, 1.006]],
  "species": ["S", "S", "N", "B", "Ni"],
  "fractional_positions": [[0.000, 0.500, 0.000], [0.500, 0.000, 0.000], [0.000, 0.000, 0.500], [0.500, 0.500, 0.500], [0.000, 0.000, 0.000]],
  "magnetic_moment_mub_per_cell": 0.000,
  "e_above_lowest_polymorph_mev_per_atom": 930.2
}



No. 4
{
  "formula": "LiErPa4N8",
  "functional": "PBE-GGA",
  "state": "relaxed",
  "lattice": [[-1.650, 4.433, 5.269], [-0.722, -2.459, 6.600], [4.127, 1.483, 4.802]],
  "species": ["N", "N", "N", "N", "N", "N", "N", "N", "Pa", "Pa", "Pa", "Pa", "Er", "Li"],
  "fractional_positions": [[0.762, 0.762, 0.257], [0.282, 0.768, 0.668], [0.768, 0.282, 0.668], [0.748, 0.748, 0.756], [0.282, 0.282, 0.668], [0.231, 0.231, 0.306], [0.762, 0.219, 0.257], [0.219, 0.762, 0.257], [0.593, 0.593, 0.221], [0.996, 0.498, 0.511], [0.498, 0.996, 0.511], [0.996, 0.996, 0.511], [0.376, 0.376, 0.872], [0.987, 0.987, 0.038]],
  "final_energy_ev_per_cell": -131.6,
  "magnetic_moment_mub_per_cell": 0.000
}



No. 5
{
  "formula": "PmSbSe2O",
  "functional": "PBE-GGA",
  "state": "relaxed",
  "lattice": [[-2.780, 0.646, -2.860], [-2.323, -2.890, 1.605], [-6.488, 9.970, 8.559]],
  "species": ["O", "O", "Sb", "Sb", "Pm", "Pm", "Se", "Se", "Se", "Se"],
  "fractional_positions": [[0.000, 0.000, 0.500], [0.500, 0.500, 0.500], [0.000, 0.500, 0.864], [0.500, 0.000, 0.136], [0.000, 0.500, 0.420], [0.500, 0.000, 0.580], [0.500, 0.000, 0.892], [0.000, 0.500, 0.688], [0.500, 0.000, 0.312], [0.000, 0.500, 0.108]],
  "final_energy_ev_per_cell": -58.0,
  "magnetic_moment_mub_per_cell": 0.000
}



No. 6
{
  "formula": "La2NdRu",
  "functional": "PBE-GGA",
  "state": "relaxed",
  "lattice": [[4.035, 0.000, 0.000], [2.017, 3.494, 0.000], [2.017, 1.165, 9.348]],
  "species": ["Ru", "La", "La", "Nd"],
  "fractional_positions": [[0.665, 0.665, 0.004], [0.057, 0.057, 0.830], [0.277, 0.277, 0.169], [0.501, 0.501, 0.497]],
  "e_form_ev_per_atom": -0.07,
  "magnetic_moment_mub_per_cell": 0.000,
  "e_above_lowest_polymorph_mev_per_atom": 153.8
}



Number 1: V 28.59 Å³/atom. Number 2: V 26.24 Å³/atom. Number 3: V 14.65 Å³/atom. Number 4: V 15.68 Å³/atom. Number 5: V 23.92 Å³/atom. Number 6: V 32.95 Å³/atom.